# Zr2MnVTc

Crystalline Zr2MnVTc at its relaxed geometry (GGA-PBE, Alexandria via LeMat-Bulk).

Computed properties:
**Crystal system**: tetragonal
**Energy of formation from the pure elements**: 0.896 eV/atom
**Space-group type**: P4/mmm

abc: 4.913 3.945 4.913
angles: 90.00 90.00 90.00
Fractional positions:
1 Tc 0.500 0.500 0.500
2 V 0.000 0.000 0.000
3 Zr 0.000 0.000 0.500
4 Zr 0.500 0.000 0.000
5 Mn 0.000 0.500 0.000

=====

# ZrMnVTc

Crystalline ZrMnVTc at its relaxed geometry (GGA-PBE, Alexandria via LeMat-Bulk).

Computed properties:
**Crystal system**: cubic
**Energy of formation from the pure elements**: -0.155 eV/atom
**Space-group type**: F-43m

abc: 4.405 4.405 4.405
angles: 60.00 60.00 60.00
Fractional positions:
1 Zr 0.250 0.250 0.250
2 Mn 0.000 0.000 0.000
3 V 0.750 0.750 0.750
4 Tc 0.500 0.500 0.500

=====

# MnTc2W

Crystalline MnTc2W at its relaxed geometry (GGA-PBE, Alexandria via LeMat-Bulk).

Computed properties:
**Crystal system**: trigonal
**Energy of formation from the pure elements**: 0.212 eV/atom
**Space-group type**: R3m

abc: 9.132 9.132 9.132
angles: 17.29 17.29 17.29
Fractional positions:
1 Tc 0.253 0.253 0.253
2 Tc 0.000 0.000 0.000
3 Mn 0.748 0.748 0.748
4 W 0.498 0.498 0.498

=====

# Mn4TcW

Crystalline Mn4TcW at its relaxed geometry (GGA-PBE, Alexandria via LeMat-Bulk).

Computed properties:
**Crystal system**: cubic
**Energy of formation from the pure elements**: -0.063 eV/atom
**Space-group type**: F-43m

abc: 4.696 4.696 4.696
angles: 60.00 60.00 60.00
Fractional positions:
1 Mn 0.124 0.625 0.625
2 Mn 0.625 0.625 0.625
3 Mn 0.625 0.124 0.625
4 Mn 0.625 0.625 0.124
5 W 0.000 0.000 0.000
6 Tc 0.250 0.250 0.250

=====

What is the formula in the second record?
ZrMnVTc

=====

Copy entry 1 word for word.
# Zr2MnVTc

Crystalline Zr2MnVTc at its relaxed geometry (GGA-PBE, Alexandria via LeMat-Bulk).

Computed properties:
**Crystal system**: tetragonal
**Energy of formation from the pure elements**: 0.896 eV/atom
**Space-group type**: P4/mmm

abc: 4.913 3.945 4.913
angles: 90.00 90.00 90.00
Fractional positions:
1 Tc 0.500 0.500 0.500
2 V 0.000 0.000 0.000
3 Zr 0.000 0.000 0.500
4 Zr 0.500 0.000 0.000
5 Mn 0.000 0.500 0.000

=====

What is the energy of formation from the pure elements in the fourth record?
-0.063 eV/atom